Density functional theory data (PBE) for a relaxed PmSiPd crystal.

Output
As for the total magnetization: 0.0 Bohr magnetons per cell. The relative energy among the computed polymorphs is 34 meV per atom. For the uncorrected formation energy, the calculation gives -0.872 eV per atom. The volume comes out at 20.2 A^3/atom. The raw total energy is -71.9 eV for the cell shown.

Cell: 10.384 4.355 7.273 Å, 90.00 132.54 90.00°
Space group C2/m (No. 12)
Inequivalent atoms, fractional coordinates:
Pm: 0.045 0.000 0.307 (multiplicity 4)
Si: 0.153 0.500 0.101 (multiplicity 4)
Pd: 0.185 0.500 0.743 (multiplicity 4)

***

Density functional theory data (PBE) for a relaxed Pm3SiPd3 crystal.

Output
As for the total magnetization: 0.0 Bohr magnetons per cell. For the uncorrected formation energy, the calculation gives -0.831 eV per atom. The volume comes out at 22.7 A^3/atom. The raw total energy is -164.3 eV for the cell shown.

Cell: 10.704 4.083 15.243 Å, 90.00 107.56 90.00°
Space group C2/m (No. 12)
Inequivalent atoms, fractional coordinates:
Pm: 0.018 0.000 0.386 (multiplicity 4)
Pm: 0.103 0.000 0.923 (multiplicity 4)
Pm: 0.243 0.000 0.233 (multiplicity 4)
Si: 0.236 0.500 0.385 (multiplicity 4)
Pd: 0.032 0.500 0.238 (multiplicity 4)
Pd: 0.119 0.500 0.076 (multiplicity 4)
Pd: 0.168 0.500 0.534 (multiplicity 4)

***

Density functional theory data (PBE) for a relaxed Pm2Si7Pd12 crystal.

Output
As for the total magnetization: 0.0 Bohr magnetons per cell. For the uncorrected formation energy, the calculation gives -0.809 eV per atom. The volume comes out at 16.1 A^3/atom. The raw total energy is -126.8 eV for the cell shown.

Cell: 10.0364 10.0364 3.8852 Å, 90.00 90.00 120.00°
Space group P-3 (No. 147)
Inequivalent atoms, fractional coordinates:
Pm: 0.3333 0.6667 0.2535 (multiplicity 2)
Si: 0.0000 0.0000 0.0000 (multiplicity 1)
Si: 0.1154 0.4050 0.7498 (multiplicity 6)
Pd: 0.0608 0.6198 0.7489 (multiplicity 6)
Pd: 0.1115 0.8543 0.2501 (multiplicity 6)

***

Density functional theory data (PBE) for a relaxed PmSiPd crystal.

Output
As for the total magnetization: 0.0 Bohr magnetons per cell. The relative energy among the computed polymorphs is 3 meV per atom. For the uncorrected formation energy, the calculation gives -0.903 eV per atom. The volume comes out at 21.0 A^3/atom. The raw total energy is -18.1 eV for the cell shown.

Cell: 4.3090 4.3090 3.9121 Å, 90.00 90.00 120.00°
Space group P-6m2 (No. 187)
Inequivalent atoms, fractional coordinates:
Pm: 0.0000 0.0000 0.0000 (multiplicity 1)
Si: 0.3333 0.6667 0.5000 (multiplicity 1)
Pd: 0.6667 0.3333 0.5000 (multiplicity 1)

***

Density functional theory data (PBE) for a relaxed PmSiPd2 crystal.

Output
As for the total magnetization: 0.0 Bohr magnetons per cell. The relative energy among the computed polymorphs is 336 meV per atom. For the uncorrected formation energy, the calculation gives -0.592 eV per atom. The volume comes out at 18.6 A^3/atom. The raw total energy is -91.7 eV for the cell shown.

Cell: 6.675 6.675 6.675 Å, 90.00 90.00 90.00°
Space group Fm-3m (No. 225)
Inequivalent atoms, fractional coordinates:
Pm: 0.000 0.000 0.000 (multiplicity 4)
Si: 0.000 0.000 0.500 (multiplicity 4)
Pd: 0.250 0.250 0.250 (multiplicity 8)

***

Density functional theory data (PBE) for a relaxed PmSiPd crystal.

Output
As for the total magnetization: 0.0 Bohr magnetons per cell. The relative energy among the computed polymorphs is 439 meV per atom. For the uncorrected formation energy, the calculation gives -0.467 eV per atom. The volume comes out at 22.6 A^3/atom. The raw total energy is -67.1 eV for the cell shown.

Cell: 6.477 6.477 6.477 Å, 90.00 90.00 90.00°
Space group F-43m (No. 216)
Inequivalent atoms, fractional coordinates:
Pm: 0.000 0.000 0.000 (multiplicity 4)
Si: 0.250 0.250 0.250 (multiplicity 4)
Pd: 0.000 0.000 0.500 (multiplicity 4)